1.
The following is a PBE calculation of crystalline LiPd2Pb6 at its relaxed geometry, from Alexandria via LeMat-Bulk.

Cell lengths 7.063, 7.063, 9.549 Å; angles 123.46, 123.46, 36.30 degrees
Positions (direct):
Li (0.000, 0.000, 0.000)
Pd (0.413, 0.413, 0.756)
Pd (0.587, 0.587, 0.244)
Pb (0.017, 0.017, 0.682)
Pb (0.273, 0.273, 0.376)
Pb (0.328, 0.328, 0.970)
Pb (0.672, 0.672, 0.030)
Pb (0.727, 0.727, 0.624)
Pb (0.983, 0.983, 0.318)

## Properties
distance to the lowest polymorph of the same formula	0.0	meV/atom
energy of formation from the pure elements	-0.20	eV/atom

=====

2.
The following is a PBE calculation of crystalline Li9Pd4Pb11 at its relaxed geometry, from Alexandria via LeMat-Bulk.

Cell lengths 12.626, 12.626, 3.590 Å; angles 90.00, 90.00, 112.51 degrees
Positions (direct):
Li (0.000, 0.000, 0.000)
Li (0.129, 0.653, 0.000)
Li (0.284, 0.432, 0.000)
Li (0.347, 0.871, 0.000)
Li (0.432, 0.284, 0.000)
Li (0.568, 0.716, 0.000)
Li (0.653, 0.129, 0.000)
Li (0.716, 0.568, 0.000)
Li (0.871, 0.347, 0.000)
Pd (0.048, 0.249, 0.000)
Pd (0.249, 0.048, 0.000)
Pd (0.751, 0.952, 0.000)
Pd (0.952, 0.751, 0.000)
Pb (0.090, 0.436, 0.500)
Pb (0.140, 0.860, 0.500)
Pb (0.208, 0.208, 0.500)
Pb (0.339, 0.661, 0.500)
Pb (0.436, 0.090, 0.500)
Pb (0.500, 0.500, 0.500)
Pb (0.564, 0.910, 0.500)
Pb (0.661, 0.339, 0.500)
Pb (0.792, 0.792, 0.500)
Pb (0.860, 0.140, 0.500)
Pb (0.910, 0.564, 0.500)

## Properties
energy of formation from the pure elements	-0.29	eV/atom

=====

3.
The following is a PBE calculation of crystalline Li4Pd7Pb at its relaxed geometry, from Alexandria via LeMat-Bulk.

Cell lengths 5.696, 5.696, 9.369 Å; angles 117.75, 117.75, 52.12 degrees
Positions (direct):
Li (0.088, 0.088, 0.266)
Li (0.223, 0.223, 0.814)
Li (0.777, 0.777, 0.186)
Li (0.912, 0.912, 0.734)
Pd (0.000, 0.000, 0.500)
Pd (0.153, 0.153, 0.037)
Pd (0.289, 0.289, 0.582)
Pd (0.456, 0.456, 0.115)
Pd (0.544, 0.544, 0.885)
Pd (0.711, 0.711, 0.418)
Pd (0.847, 0.847, 0.963)
Pb (0.500, 0.500, 0.500)

## Properties
energy of formation from the pure elements	-0.13	eV/atom

=====

4.
The following is a PBE calculation of crystalline Li6PdPb5 at its relaxed geometry, from Alexandria via LeMat-Bulk.

Cell lengths 5.194, 6.414, 8.228 Å; angles 112.79, 93.49, 90.05 degrees
Positions (direct):
Li (0.000, 0.244, 0.000)
Li (0.000, 0.756, 0.000)
Li (0.328, 0.085, 0.682)
Li (0.329, 0.600, 0.684)
Li (0.671, 0.400, 0.316)
Li (0.672, 0.915, 0.318)
Pd (0.500, 0.000, 0.000)
Pb (0.155, 0.673, 0.349)
Pb (0.197, 0.150, 0.305)
Pb (0.500, 0.500, 0.000)
Pb (0.803, 0.850, 0.695)
Pb (0.845, 0.327, 0.651)

## Properties
energy of formation from the pure elements	-0.26	eV/atom

=====

5.
The following is a PBE calculation of crystalline LiPd4Pb at its relaxed geometry, from Alexandria via LeMat-Bulk.

Cell lengths 9.177, 3.960, 5.734 Å; angles 90.00, 109.50, 90.00 degrees
Positions (direct):
Li (0.000, 0.000, 0.000)
Li (0.500, 0.500, 0.000)
Pd (0.160, 0.500, 0.320)
Pd (0.170, 0.500, 0.838)
Pd (0.330, 0.000, 0.162)
Pd (0.340, 0.000, 0.680)
Pd (0.660, 0.000, 0.320)
Pd (0.670, 0.000, 0.838)
Pd (0.830, 0.500, 0.162)
Pd (0.840, 0.500, 0.680)
Pb (0.000, 0.000, 0.500)
Pb (0.500, 0.500, 0.500)

## Properties
distance to the lowest polymorph of the same formula	5.2	meV/atom
energy of formation from the pure elements	-0.29	eV/atom

=====

6.
The following is a PBE calculation of crystalline Li3Pd4Pb2 at its relaxed geometry, from Alexandria via LeMat-Bulk.

Cell lengths 4.736, 4.736, 8.537 Å; angles 99.33, 99.33, 53.63 degrees
Positions (direct):
Li (0.000, 0.000, 0.000)
Li (0.345, 0.345, 0.438)
Li (0.655, 0.655, 0.562)
Pd (0.004, 0.004, 0.335)
Pd (0.332, 0.332, 0.105)
Pd (0.668, 0.668, 0.895)
Pd (0.996, 0.996, 0.665)
Pb (0.330, 0.330, 0.773)
Pb (0.670, 0.670, 0.227)

## Properties
energy of formation from the pure elements	-0.41	eV/atom